Entry 1:
The following is a GGA-PBE calculation of a geometry-optimized CsPt2Rh structure, from Alexandria.

Results
- total magnetic moment (μB/cell) = 1.5
- uncorrected energy (eV/atom) = -4.05
- ΔE_f (eV per formula unit) = 4.106

Unit cell a=4.8636 b=4.8636 c=4.8636 alpha=60.00 beta=60.00 gamma=60.00
Fractional coordinates of all 4 atoms:
1 Cs 0.0000 0.0000 0.0000
2 Pt 0.2500 0.2500 0.2500
3 Pt 0.7500 0.7500 0.7500
4 Rh 0.5000 0.5000 0.5000



Entry 2:
The following is a GGA-PBE calculation of a geometry-optimized CsPtRh2 structure, from Alexandria.

Results
- total magnetic moment (μB/cell) = 2.1
- uncorrected energy (eV/atom) = -4.33
- ΔE_f (eV per formula unit) = 4.274

Unit cell a=4.7838 b=4.7838 c=4.7838 alpha=60.00 beta=60.00 gamma=60.00
Fractional coordinates of all 4 atoms:
1 Cs 0.0000 0.0000 0.0000
2 Pt 0.5000 0.5000 0.5000
3 Rh 0.2500 0.2500 0.2500
4 Rh 0.7500 0.7500 0.7500



Repeat the first record exactly.
The following is a GGA-PBE calculation of a geometry-optimized CsPt2Rh structure, from Alexandria.

Results
- total magnetic moment (μB/cell) = 1.5
- uncorrected energy (eV/atom) = -4.05
- ΔE_f (eV per formula unit) = 4.106

Unit cell a=4.8636 b=4.8636 c=4.8636 alpha=60.00 beta=60.00 gamma=60.00
Fractional coordinates of all 4 atoms:
1 Cs 0.0000 0.0000 0.0000
2 Pt 0.2500 0.2500 0.2500
3 Pt 0.7500 0.7500 0.7500
4 Rh 0.5000 0.5000 0.5000



Number 1 is which compound?
CsPt2Rh



total magnetic moment of number 2 (CsPtRh2)?
2.1 μB/cell



Among the records above, which one has the highest uncorrected energy?
CsPt2Rh